# 1
# Ac2Pr12Dy5, optimized geometry, DFT PBE
# SG: No. 12
# Total magnetic moment in μB per formula unit: 0.00
# Formation enthalpy at 0 K in kJ per mole of atoms: 11
# Theoretical density in g/cm3: 7.2
# Total energy in eV per formula unit: -86.48
data_Ac2Pr12Dy5
_chemical_formula_sum 'Ac2 Pr12 Dy5'
_space_group_name_H-M_alt 'P 1'
_space_group_IT_number 1
_cell_length_a 11.850
_cell_length_b 8.950
_cell_length_c 9.675
_cell_angle_alpha 70.11
_cell_angle_beta 90.00
_cell_angle_gamma 131.46
loop_
_space_group_symop_operation_xyz
'x,y,z'
loop_
_atom_site_label
_atom_site_fract_x
_atom_site_fract_y
_atom_site_fract_z
Pr1 0.423 0.847 0.777
Pr2 0.126 0.252 0.057
Pr3 0.173 0.780 0.425
Ac1 0.266 0.000 0.000
Dy1 0.810 0.620 0.332
Pr4 0.827 0.220 0.575
Ac2 0.734 0.000 0.000
Dy2 0.000 0.000 0.500
Pr5 0.568 0.621 0.800
Pr6 0.053 0.621 0.800
Pr7 0.947 0.379 0.200
Pr8 0.577 0.153 0.223
Pr9 0.607 0.780 0.425
Pr10 0.432 0.379 0.200
Dy3 0.190 0.380 0.668
Pr11 0.393 0.220 0.575
Dy4 0.306 0.612 0.243
Dy5 0.694 0.388 0.757
Pr12 0.874 0.748 0.943

=====

# 2
# Ba2Sr2InSn4, optimized geometry, DFT PBE
# SG: No. 139
# Total magnetic moment in μB per formula unit: 0.00
# Formation enthalpy at 0 K in kJ per mole of atoms: -37
# Theoretical density in g/cm3: 5.2
# Total energy in eV per formula unit: -29.41
data_Ba2Sr2InSn4
_chemical_formula_sum 'Ba2 Sr2 In1 Sn4'
_space_group_name_H-M_alt 'P 1'
_space_group_IT_number 1
_cell_length_a 7.675
_cell_length_b 7.675
_cell_length_c 7.675
_cell_angle_alpha 94.14
_cell_angle_beta 117.64
_cell_angle_gamma 117.64
loop_
_space_group_symop_operation_xyz
'x,y,z'
loop_
_atom_site_label
_atom_site_fract_x
_atom_site_fract_y
_atom_site_fract_z
Ba1 0.500 0.250 0.750
Sr1 0.000 0.695 0.695
Sr2 0.000 0.305 0.305
Sn1 0.000 0.738 0.262
In1 0.000 0.000 0.000
Sn2 0.477 0.738 0.738
Sn3 0.523 0.262 0.262
Sn4 0.000 0.262 0.738
Ba2 0.500 0.750 0.250

=====

# 3
# CrCo2Pb, optimized geometry, DFT PBE
# SG: No. 166
# Total magnetic moment in μB per formula unit: 0.00
# Formation enthalpy at 0 K in kJ per mole of atoms: 64
# Theoretical density in g/cm3: 10.1
# Total energy in eV per formula unit: -24.90
data_CrCo2Pb
_chemical_formula_sum 'Cr1 Co2 Pb1'
_space_group_name_H-M_alt 'P 1'
_space_group_IT_number 1
_cell_length_a 7.842
_cell_length_b 7.842
_cell_length_c 7.842
_cell_angle_alpha 22.50
_cell_angle_beta 22.50
_cell_angle_gamma 22.50
loop_
_space_group_symop_operation_xyz
'x,y,z'
loop_
_atom_site_label
_atom_site_fract_x
_atom_site_fract_y
_atom_site_fract_z
Co1 0.519 0.519 0.519
Cr1 0.250 0.250 0.250
Pb1 0.750 0.750 0.750
Co2 0.981 0.981 0.981

=====

# 4
# Ac5As4Br, optimized geometry, DFT PBE
# Formation energy without anion corrections in eV/atom: -1.48
# SG: No. 71
# Total magnetic moment in μB per formula unit: 0.00
# Theoretical density in g/cm3: 7.6
# Total energy in eV per formula unit: -55.66
data_Ac5As4Br
_chemical_formula_sum 'Ac5 As4 Br1'
_space_group_name_H-M_alt 'P 1'
_space_group_IT_number 1
_cell_length_a 4.539
_cell_length_b 6.404
_cell_length_c 12.050
_cell_angle_alpha 105.41
_cell_angle_beta 100.86
_cell_angle_gamma 90.00
loop_
_space_group_symop_operation_xyz
'x,y,z'
loop_
_atom_site_label
_atom_site_fract_x
_atom_site_fract_y
_atom_site_fract_z
Ac1 0.801 0.301 0.602
Ac2 0.390 0.890 0.780
Ac3 0.610 0.110 0.220
Ac4 0.199 0.699 0.398
As1 0.799 0.799 0.598
Ac5 0.000 0.500 0.000
As2 0.403 0.403 0.805
As3 0.201 0.201 0.402
As4 0.597 0.597 0.195
Br1 0.000 0.000 0.000

=====

# 5
# CrGa2FeRe, optimized geometry, DFT PBE
# SG: No. 123
# Total magnetic moment in μB per formula unit: 5.99
# Formation enthalpy at 0 K in kJ per mole of atoms: 110
# Theoretical density in g/cm3: 6.8
# Total energy in eV per formula unit: -30.88
data_CrGa2FeRe
_chemical_formula_sum 'Cr1 Ga2 Fe1 Re1'
_space_group_name_H-M_alt 'P 1'
_space_group_IT_number 1
_cell_length_a 4.812
_cell_length_b 4.582
_cell_length_c 4.812
_cell_angle_alpha 90.00
_cell_angle_beta 90.00
_cell_angle_gamma 90.00
loop_
_space_group_symop_operation_xyz
'x,y,z'
loop_
_atom_site_label
_atom_site_fract_x
_atom_site_fract_y
_atom_site_fract_z
Cr1 0.000 0.500 0.000
Fe1 0.500 0.500 0.500
Ga1 0.500 0.000 0.000
Re1 0.000 0.000 0.000
Ga2 0.000 0.000 0.500

=====

# 6
# SrCa2AcIr, optimized geometry, DFT PBE
# SG: No. 123
# Total magnetic moment in μB per formula unit: 0.00
# Formation enthalpy at 0 K in kJ per mole of atoms: -26
# Theoretical density in g/cm3: 5.0
# Total energy in eV per formula unit: -20.02
data_SrCa2AcIr
_chemical_formula_sum 'Sr1 Ca2 Ac1 Ir1'
_space_group_name_H-M_alt 'P 1'
_space_group_IT_number 1
_cell_length_a 5.798
_cell_length_b 5.771
_cell_length_c 5.771
_cell_angle_alpha 90.00
_cell_angle_beta 90.00
_cell_angle_gamma 90.00
loop_
_space_group_symop_operation_xyz
'x,y,z'
loop_
_atom_site_label
_atom_site_fract_x
_atom_site_fract_y
_atom_site_fract_z
Sr1 0.500 0.500 0.500
Ca1 0.000 0.500 0.000
Ac1 0.500 0.000 0.000
Ir1 0.000 0.000 0.000
Ca2 0.000 0.000 0.500

=====

# 7
# Ac5TlAu2, optimized geometry, DFT PBE
# SG: No. 140
# Total magnetic moment in μB per formula unit: 0.00
# Formation enthalpy at 0 K in kJ per mole of atoms: -47
# Theoretical density in g/cm3: 10.2
# Total energy in eV per formula unit: -33.37
data_Ac5TlAu2
_chemical_formula_sum 'Ac10 Tl2 Au4'
_space_group_name_H-M_alt 'P 1'
_space_group_IT_number 1
_cell_length_a 8.825
_cell_length_b 8.826
_cell_length_c 9.552
_cell_angle_alpha 117.51
_cell_angle_beta 117.51
_cell_angle_gamma 90.00
loop_
_space_group_symop_operation_xyz
'x,y,z'
loop_
_atom_site_label
_atom_site_fract_x
_atom_site_fract_y
_atom_site_fract_z
Ac1 0.513 0.702 0.715
Au1 0.864 0.636 0.000
Au2 0.136 0.364 0.000
Ac2 0.987 0.487 0.285
Ac3 0.013 0.513 0.715
Ac4 0.702 0.202 0.715
Ac5 0.500 0.500 0.000
Au3 0.636 0.136 0.000
Ac6 0.487 0.298 0.285
Au4 0.364 0.864 0.000
Ac7 0.000 0.000 0.000
Ac8 0.298 0.798 0.285
Ac9 0.798 0.987 0.285
Tl1 0.750 0.750 0.500
Ac10 0.202 0.013 0.715
Tl2 0.250 0.250 0.500

=====

# 8
# Pm5NdS6, optimized geometry, DFT PBE
# Formation energy without anion corrections in eV/atom: -2.04
# SG: No. 12
# Total magnetic moment in μB per formula unit: 0.00
# Theoretical density in g/cm3: 6.3
# Total energy in eV per formula unit: -77.72
data_Pm5NdS6
_chemical_formula_sum 'Pm5 Nd1 S6'
_space_group_name_H-M_alt 'P 1'
_space_group_IT_number 1
_cell_length_a 6.988
_cell_length_b 6.993
_cell_length_c 7.008
_cell_angle_alpha 60.07
_cell_angle_beta 80.32
_cell_angle_gamma 70.30
loop_
_space_group_symop_operation_xyz
'x,y,z'
loop_
_atom_site_label
_atom_site_fract_x
_atom_site_fract_y
_atom_site_fract_z
S1 0.749 0.084 0.335
Pm1 0.000 0.334 0.333
S2 0.251 0.581 0.335
S3 0.251 0.252 0.000
Pm2 0.000 0.666 0.667
S4 0.749 0.748 0.000
Pm3 0.500 0.500 0.000
S5 0.749 0.419 0.665
Pm4 0.500 0.166 0.668
S6 0.251 0.916 0.665
Nd1 0.000 0.000 0.000
Pm5 0.500 0.834 0.332

=====

# 9
# Y7Sn4C, optimized geometry, DFT PBE
# SG: No. 12
# Total magnetic moment in μB per formula unit: 0.00
# Formation enthalpy at 0 K in kJ per mole of atoms: -39
# Theoretical density in g/cm3: 5.2
# Total energy in eV per formula unit: -75.39
data_Y7Sn4C
_chemical_formula_sum 'Y7 Sn4 C1'
_space_group_name_H-M_alt 'P 1'
_space_group_IT_number 1
_cell_length_a 5.040
_cell_length_b 9.203
_cell_length_c 8.415
_cell_angle_alpha 78.83
_cell_angle_beta 72.57
_cell_angle_gamma 74.11
loop_
_space_group_symop_operation_xyz
'x,y,z'
loop_
_atom_site_label
_atom_site_fract_x
_atom_site_fract_y
_atom_site_fract_z
Sn1 0.584 0.217 0.614
Y1 0.500 0.000 0.000
Sn2 0.278 0.352 0.093
Y2 0.364 0.546 0.727
Y3 0.937 0.248 0.877
C1 0.000 0.000 0.000
Y4 0.777 0.862 0.585
Y5 0.223 0.138 0.415
Y6 0.063 0.752 0.123
Y7 0.636 0.454 0.273
Sn3 0.416 0.783 0.386
Sn4 0.722 0.648 0.907

=====

# 10
# AgPS2Br, optimized geometry, DFT PBE
# Energy relative to the lowest polymorph listed for this composition in meV per atom: 204
# Formation energy without anion corrections in eV/atom: 1.28
# SG: No. 123
# Total magnetic moment in μB per formula unit: 1.16
# Theoretical density in g/cm3: 4.0
# Total energy in eV per formula unit: -11.81
data_AgPS2Br
_chemical_formula_sum 'Ag1 P1 S2 Br1'
_space_group_name_H-M_alt 'P 1'
_space_group_IT_number 1
_cell_length_a 4.864
_cell_length_b 4.864
_cell_length_c 4.988
_cell_angle_alpha 90.00
_cell_angle_beta 90.00
_cell_angle_gamma 90.00
loop_
_space_group_symop_operation_xyz
'x,y,z'
loop_
_atom_site_label
_atom_site_fract_x
_atom_site_fract_y
_atom_site_fract_z
S1 0.000 0.500 0.000
Ag1 0.500 0.500 0.500
S2 0.500 0.000 0.000
Br1 0.000 0.000 0.000
P1 0.000 0.000 0.500

=====

# 11
# Y4GeSb2As, optimized geometry, DFT PBE
# Formation energy without anion corrections in eV/atom: -1.13
# SG: No. 10
# Total magnetic moment in μB per formula unit: 0.00
# Theoretical density in g/cm3: 5.6
# Total energy in eV per formula unit: -52.42
data_Y4GeSb2As
_chemical_formula_sum 'Y4 Ge1 Sb2 As1'
_space_group_name_H-M_alt 'P 1'
_space_group_IT_number 1
_cell_length_a 4.232
_cell_length_b 7.377
_cell_length_c 7.445
_cell_angle_alpha 109.09
_cell_angle_beta 90.00
_cell_angle_gamma 90.00
loop_
_space_group_symop_operation_xyz
'x,y,z'
loop_
_atom_site_label
_atom_site_fract_x
_atom_site_fract_y
_atom_site_fract_z
Ge1 0.500 0.500 0.000
Sb1 0.000 0.500 0.500
Y1 0.500 0.243 0.230
As1 0.000 0.000 0.000
Y2 0.500 0.757 0.770
Y3 0.000 0.745 0.232
Y4 0.000 0.255 0.768
Sb2 0.500 0.000 0.500

=====

# 12
# ZrSn2SbPd, optimized geometry, DFT PBE
# Formation energy without anion corrections in eV/atom: 0.13
# SG: No. 123
# Total magnetic moment in μB per formula unit: 0.00
# Theoretical density in g/cm3: 6.8
# Total energy in eV per formula unit: -25.23
data_ZrSn2SbPd
_chemical_formula_sum 'Zr1 Sn2 Sb1 Pd1'
_space_group_name_H-M_alt 'P 1'
_space_group_IT_number 1
_cell_length_a 5.009
_cell_length_b 5.390
_cell_length_c 5.009
_cell_angle_alpha 90.00
_cell_angle_beta 90.00
_cell_angle_gamma 90.00
loop_
_space_group_symop_operation_xyz
'x,y,z'
loop_
_atom_site_label
_atom_site_fract_x
_atom_site_fract_y
_atom_site_fract_z
Sn1 0.000 0.000 0.500
Sn2 0.500 0.000 0.000
Zr1 0.000 0.500 0.000
Sb1 0.500 0.500 0.500
Pd1 0.000 0.000 0.000

=====

Q: What is the formula in the twelfth record?
A: ZrSn2SbPd